KTeRuO2 PBE-GGA relaxed; DFT total energy = -3.367 eV per atom; symmetry = P4/mmm, No. 123; raw formation energy = 1319.2 meV per atom; calculated volume = 128.85 Å³/cell
1.0
-2.346 -3.355 1.660
-0.974 -2.335 -6.097
3.686 -2.412 0.335
Ru K Te O
1 1 1 2
Direct
0.000 0.500 0.000
0.000 0.000 0.000
0.500 0.500 0.500
0.000 0.000 0.500
0.500 0.000 0.000